Entry 1:
Here is crystalline Nd2P6Pd21 at its relaxed geometry from Alexandria via LeMat-Bulk. Energies are from PBE.

Calculated values
Space-group type: Fm-3m
Formation enthalpy at 0 K, meV/atom: -628.6

Cell lengths 8.6627, 8.6627, 8.6627 Å; angles 60.00, 60.00, 60.00 degrees
Last column: nearest neighbours and their distance in Å.
Positions (direct):
Nd  0.7500  0.7500  0.7500  4 Pd 2.89
Nd  0.2500  0.2500  0.2500  4 Pd 2.89
P  0.2602  0.7398  0.2602  8 Pd 2.37-2.50
P  0.7398  0.2602  0.2602  8 Pd 2.37-2.50
P  0.7398  0.7398  0.2602  8 Pd 2.37-2.50
P  0.7398  0.2602  0.7398  8 Pd 2.37-2.50
P  0.2602  0.7398  0.7398  8 Pd 2.37-2.50
P  0.2602  0.2602  0.7398  8 Pd 2.37-2.50
Pd  0.0000  0.0000  0.0000  12 Pd 2.99, 6 P 3.19
Pd  0.6136  0.6136  0.1591  3 P 2.50, 3 Pd 2.78
Pd  0.6136  0.6136  0.6136  3 P 2.50, 3 Pd 2.78
Pd  0.6136  0.1591  0.6136  3 P 2.50, 3 Pd 2.78
Pd  0.1591  0.6136  0.6136  3 P 2.50, 3 Pd 2.78
Pd  0.3864  0.3864  0.8409  3 P 2.50, 3 Pd 2.78
Pd  0.3864  0.3864  0.3864  3 P 2.50, 3 Pd 2.78
Pd  0.3864  0.8409  0.3864  3 P 2.50, 3 Pd 2.78
Pd  0.8409  0.3864  0.3864  3 P 2.50, 3 Pd 2.78
Pd  0.6554  0.0000  0.3446  2 P 2.37
Pd  0.0000  0.6554  0.3446  2 P 2.37
Pd  0.0000  0.0000  0.3446  2 P 2.37
Pd  0.0000  0.6554  0.0000  2 P 2.37
Pd  0.6554  0.0000  0.0000  2 P 2.37
Pd  0.0000  0.0000  0.6554  2 P 2.37
Pd  0.0000  0.3446  0.0000  2 P 2.37
Pd  0.0000  0.3446  0.6554  2 P 2.37
Pd  0.6554  0.3446  0.0000  2 P 2.37
Pd  0.3446  0.0000  0.6554  2 P 2.37
Pd  0.3446  0.0000  0.0000  2 P 2.37
Pd  0.3446  0.6554  0.0000  2 P 2.37

Entry 2:
Here is crystalline VZnTc at its relaxed geometry from Alexandria via LeMat-Bulk. Energies are from PBE.

Calculated values
Space-group type: P3m1
Energy relative to the lowest polymorph listed for this composition, meV/atom: 27.1
Formation enthalpy at 0 K, meV/atom: -106.2

Cell lengths 2.6173, 4.2980, 4.2980 Å; angles 120.00, 90.00, 90.00 degrees
Last column: nearest neighbours and their distance in Å.
Positions (direct):
Zn  0.0113  0.0000  0.0000  2 Zn 2.62, 3 V 2.65, 3 Tc 2.68
Tc  0.6222  0.6667  0.3333  3 V 2.57, 2 Tc 2.62, 3 Zn 2.68
V  0.3665  0.3333  0.6667  3 Tc 2.57, 2 V 2.62, 3 Zn 2.65

Entry 3:
Here is crystalline ZnCdIn2 at its relaxed geometry from Alexandria via LeMat-Bulk. Energies are from PBE.

Calculated values
Space-group type: Fm-3m
Energy relative to the lowest polymorph listed for this composition, meV/atom: 50.8
Formation enthalpy at 0 K, meV/atom: 107.1

Cell lengths 5.1269, 5.1269, 5.1269 Å; angles 60.00, 60.00, 60.00 degrees
Last column: nearest neighbours and their distance in Å.
Positions (direct):
Zn  0.0000  0.0000  0.0000  8 In 3.14
Cd  0.5000  0.5000  0.5000  8 In 3.14
In  0.2500  0.2500  0.2500  4 Cd 3.14, 4 Zn 3.14
In  0.7500  0.7500  0.7500  4 Zn 3.14, 4 Cd 3.14

Entry 4:
Here is crystalline CdIrPt2 at its relaxed geometry from Alexandria via LeMat-Bulk. Energies are from PBE.

Calculated values
Space-group type: R-3m
Formation enthalpy at 0 K, meV/atom: 6.6

Cell lengths 9.4053, 9.4053, 9.4053 Å; angles 17.39, 17.39, 17.39 degrees
Last column: nearest neighbours and their distance in Å.
Positions (direct):
Ir  0.2500  0.2500  0.2500  6 Pt 2.77, 6 Ir 2.84
Pt  0.9969  0.9969  0.9969  3 Ir 2.77, 6 Pt 2.84, 3 Cd 2.91
Pt  0.5031  0.5031  0.5031  3 Ir 2.77, 6 Pt 2.84, 3 Cd 2.91
Cd  0.7500  0.7500  0.7500  6 Cd 2.84, 6 Pt 2.91

Entry 5:
Here is crystalline DyTmMgCu at its relaxed geometry from Alexandria via LeMat-Bulk. Energies are from PBE.

Calculated values
Space-group type: P4mm
Energy relative to the lowest polymorph listed for this composition, meV/atom: 0.0
Formation enthalpy at 0 K, meV/atom: -155.0

Cell lengths 3.4537, 3.4537, 8.0149 Å; angles 90.00, 90.00, 90.00 degrees
Last column: nearest neighbours and their distance in Å.
Positions (direct):
Dy  0.5000  0.5000  0.7825  4 Cu 3.01, 1 Tm 3.36
Tm  0.5000  0.5000  0.3628  4 Cu 2.93
Mg  0.0000  0.0000  0.0756  4 Tm 3.36, 4 Dy 3.39, 4 Mg 3.45
Cu  0.0000  0.0000  0.5638  4 Tm 2.93, 4 Dy 3.01

Entry 6:
Here is crystalline Sm4TlRh at its relaxed geometry from Alexandria via LeMat-Bulk. Energies are from PBE.

Calculated values
Space-group type: F-43m
Energy relative to the lowest polymorph listed for this composition, meV/atom: 0.0
Formation enthalpy at 0 K, meV/atom: -461.5

Cell lengths 9.8702, 9.8702, 9.8702 Å; angles 60.00, 60.00, 60.00 degrees
Last column: nearest neighbours and their distance in Å.
Positions (direct):
Sm  0.4006  0.4006  0.4006  3 Rh 2.90
Sm  0.7982  0.4006  0.4006  3 Rh 2.90
Sm  0.4006  0.7982  0.4006  3 Rh 2.90
Sm  0.4006  0.4006  0.7982  3 Rh 2.90
Sm  0.5600  0.5600  0.9400  2 Rh 2.89
Sm  0.9400  0.9400  0.5600  2 Rh 2.89
Sm  0.5600  0.9400  0.5600  2 Rh 2.89
Sm  0.9400  0.5600  0.9400  2 Rh 2.89
Sm  0.9400  0.5600  0.5600  2 Rh 2.89
Sm  0.5600  0.9400  0.9400  2 Rh 2.89
Sm  0.1896  0.1896  0.8104  2 Tl 3.28, 2 Sm 3.54, 2 Rh 3.54
Sm  0.8104  0.8104  0.1896  2 Tl 3.28, 2 Sm 3.54, 2 Rh 3.54
Sm  0.1896  0.8104  0.1896  2 Tl 3.28, 2 Sm 3.54, 2 Rh 3.54
Sm  0.8104  0.1896  0.8104  2 Tl 3.28, 2 Sm 3.54, 2 Rh 3.54
Sm  0.8104  0.1896  0.1896  2 Tl 3.28, 2 Sm 3.54, 2 Rh 3.54
Sm  0.1896  0.8104  0.8104  2 Tl 3.28, 2 Sm 3.54, 2 Rh 3.54
Tl  0.1652  0.1652  0.1652  9 Sm 3.28-3.56, 3 Tl 3.35
Tl  0.5045  0.1652  0.1652  9 Sm 3.28-3.56, 3 Tl 3.35
Tl  0.1652  0.5045  0.1652  9 Sm 3.28-3.56, 3 Tl 3.35
Tl  0.1652  0.1652  0.5045  9 Sm 3.28-3.56, 3 Tl 3.35
Rh  0.6078  0.6078  0.6078  6 Sm 2.89-2.90
Rh  0.1767  0.6078  0.6078  6 Sm 2.89-2.90
Rh  0.6078  0.1767  0.6078  6 Sm 2.89-2.90
Rh  0.6078  0.6078  0.1767  6 Sm 2.89-2.90

Entry 7:
Here is crystalline Nb3ReS4 at its relaxed geometry from Alexandria via LeMat-Bulk. Energies are from PBE.

Calculated values
Raw formation energy, kJ/mol of formula units: -354
Space-group type: Pmn2_1

Cell lengths 6.2612, 4.8551, 9.0796 Å; angles 90.00, 90.00, 90.00 degrees
Last column: nearest neighbours and their distance in Å.
Positions (direct):
Nb  0.6150  0.7660  0.0000  5 S 2.44-2.61, 1 Re 2.67
Nb  0.9906  0.6973  0.2279  5 S 2.42-2.66
Nb  0.4906  0.3027  0.2721  5 S 2.42-2.66
Nb  0.1150  0.2340  0.5000  5 S 2.44-2.61, 1 Re 2.67
Nb  0.4906  0.3027  0.7279  5 S 2.42-2.66
Nb  0.9906  0.6973  0.7721  5 S 2.42-2.66
Re  0.9287  0.1399  0.0000  4 S 2.34-2.43
Re  0.4287  0.8601  0.5000  4 S 2.34-2.43
S  0.1989  0.7796  0.0000  1 Re 2.43, 3 Nb 2.48-2.61
S  0.5579  0.2635  0.0000  1 Re 2.40, 4 Nb 2.44-2.51
S  0.1168  0.2210  0.2181  1 Re 2.34, 3 Nb 2.42-2.56
S  0.6168  0.7790  0.2819  1 Re 2.34, 3 Nb 2.42-2.56
S  0.0579  0.7365  0.5000  1 Re 2.40, 4 Nb 2.44-2.51
S  0.6989  0.2204  0.5000  1 Re 2.43, 3 Nb 2.48-2.61
S  0.6168  0.7790  0.7181  1 Re 2.34, 3 Nb 2.42-2.56
S  0.1168  0.2210  0.7819  1 Re 2.34, 3 Nb 2.42-2.56

Entry 8:
Here is crystalline TlAgAuO4 at its relaxed geometry from Alexandria via LeMat-Bulk. Energies are from PBE.

Calculated values
Raw formation energy, kJ/mol of formula units: -116
Space-group type: Imma

Cell lengths 6.8404, 6.6943, 6.7422 Å; angles 120.24, 90.00, 120.72 degrees
Last column: nearest neighbours and their distance in Å.
Positions (direct):
Tl  0.5000  0.0000  0.5000  6 O 2.32-2.34
Tl  0.5000  0.0000  0.0000  6 O 2.32-2.34
Ag  0.8755  0.7511  0.1255  4 O 2.32-2.34
Ag  0.1245  0.2489  0.8745  4 O 2.32-2.34
Au  0.5000  0.5000  0.5000  6 O 2.06-2.20
Au  0.0000  0.5000  0.5000  6 O 2.06-2.20
O  0.7484  0.4968  0.7028  2 Au 2.20, 1 Ag 2.32, 1 Tl 2.34
O  0.3004  0.0600  0.2800  1 Au 2.06
O  0.7596  0.0600  0.2800  1 Au 2.06
O  0.7484  0.4968  0.2940  2 Au 2.20, 1 Ag 2.32, 1 Tl 2.34
O  0.2516  0.5032  0.7060  2 Au 2.20, 1 Ag 2.32, 1 Tl 2.34
O  0.6996  0.9400  0.7200  1 Au 2.06
O  0.2404  0.9400  0.7200  1 Au 2.06
O  0.2516  0.5032  0.2972  2 Au 2.20, 1 Ag 2.32, 1 Tl 2.34

Entry 9:
Here is crystalline Nd2SmErSb4 at its relaxed geometry from Alexandria via LeMat-Bulk. Energies are from PBE.

Calculated values
Raw formation energy, kJ/mol of formula units: -893
Space-group type: P2/m

Cell lengths 4.4727, 7.7377, 7.7407 Å; angles 70.51, 90.00, 90.00 degrees
Last column: nearest neighbours and their distance in Å.
Positions (direct):
Nd  0.0000  0.0000  0.0000  6 Sb 3.21
Nd  0.5000  0.0000  0.5000  6 Sb 3.17-3.18
Sm  0.5000  0.5000  0.0000  6 Sb 3.15
Er  0.0000  0.5000  0.5000  6 Sb 3.11
Sb  0.0000  0.7440  0.7484  1 Er 3.11, 2 Sm 3.15, 3 Nd 3.18-3.21
Sb  0.0000  0.2560  0.2516  1 Er 3.11, 2 Sm 3.15, 3 Nd 3.18-3.21
Sb  0.5000  0.7414  0.2563  2 Er 3.11, 1 Sm 3.15, 3 Nd 3.17-3.21
Sb  0.5000  0.2586  0.7437  2 Er 3.11, 1 Sm 3.15, 3 Nd 3.17-3.21

Entry 10:
Here is crystalline AgHW2 at its relaxed geometry from Alexandria via LeMat-Bulk. Energies are from PBE.

Calculated values
Space-group type: Fm-3m
Energy relative to the lowest polymorph listed for this composition, meV/atom: 469.2

Cell lengths 4.3195, 4.3195, 4.3195 Å; angles 60.00, 60.00, 60.00 degrees
Last column: nearest neighbours and their distance in Å.
Positions (direct):
H  0.0000  0.0000  0.0000  8 W 2.65
Ag  0.5000  0.5000  0.5000  8 W 2.65
W  0.2500  0.2500  0.2500  4 Ag 2.65, 4 H 2.65
W  0.7500  0.7500  0.7500  4 H 2.65, 4 Ag 2.65

Entry 11:
Here is crystalline YTmNiPt at its relaxed geometry from Alexandria via LeMat-Bulk. Energies are from PBE.

Calculated values
Space-group type: F-43m
Energy relative to the lowest polymorph listed for this composition, meV/atom: 51.4
Formation enthalpy at 0 K, meV/atom: -831.1

Cell lengths 4.8498, 4.8498, 4.8498 Å; angles 60.00, 60.00, 60.00 degrees
Last column: nearest neighbours and their distance in Å.
Positions (direct):
Y  0.5000  0.5000  0.5000  4 Ni 2.97, 4 Pt 2.97
Ni  0.2500  0.2500  0.2500  4 Tm 2.97, 4 Y 2.97
Tm  0.0000  0.0000  0.0000  4 Pt 2.97, 4 Ni 2.97
Pt  0.7500  0.7500  0.7500  4 Tm 2.97, 4 Y 2.97